Record 1
PBE HfFeW2, optimized geometry; V = 137.2 Å³ per cell; VASP energy = -42.0 eV/f.u.; ΔE to the lowest computed polymorph = 235 meV per atom; calculated formation energy = 0.5837 eV per atom
1.0
-0.342 -2.014 -7.011
-6.220 -3.586 1.334
-4.624 -0.674 -3.384
Hf Fe W
2 2 4
Direct
0.000 0.000 0.000
0.750 0.250 0.500
0.250 0.750 0.500
0.500 0.500 0.000
0.575 0.125 0.250
0.875 0.825 0.750
0.375 0.425 0.750
0.175 0.625 0.250

---

Record 2
PBE Hf2Fe2W, optimized geometry; V = 163.3 Å³ per cell; VASP energy = -50.2 eV/f.u.; calculated formation energy = -0.0806 eV per atom
1.0
-0.799 -0.331 6.158
-3.996 -4.701 -0.771
3.190 -2.756 0.266
W Hf Fe
2 4 4
Direct
0.500 0.500 0.000
0.000 0.000 0.000
0.682 0.818 0.500
0.318 0.182 0.500
0.182 0.682 0.500
0.818 0.318 0.500
0.371 0.871 0.000
0.629 0.129 0.000
0.871 0.629 0.000
0.129 0.371 0.000

---

Record 3
PBE Hf9FeW4, optimized geometry; V = 553.9 Å³ per cell; VASP energy = -151.5 eV/f.u.; calculated formation energy = -0.1155 eV per atom
1.0
4.344 -7.524 0.000
4.344 7.524 0.000
0.000 0.000 8.473
Hf W Fe
18 8 2
Direct
0.202 0.798 0.440
0.459 0.541 0.750
0.541 0.082 0.250
0.202 0.798 0.060
0.541 0.459 0.250
0.798 0.202 0.940
0.459 0.918 0.750
0.596 0.798 0.060
0.202 0.404 0.440
0.798 0.202 0.560
0.404 0.202 0.560
0.596 0.798 0.440
0.202 0.404 0.060
0.918 0.459 0.250
0.798 0.596 0.940
0.798 0.596 0.560
0.082 0.541 0.750
0.404 0.202 0.940
0.000 0.000 0.500
0.000 0.000 0.000
0.225 0.112 0.250
0.112 0.888 0.750
0.775 0.888 0.750
0.888 0.775 0.250
0.888 0.112 0.250
0.112 0.225 0.750
0.667 0.333 0.750
0.333 0.667 0.250

---

Record 4
PBE Hf3FeW, optimized geometry; V = 102.3 Å³ per cell; VASP energy = -47.9 eV/f.u.; ΔE to the lowest computed polymorph = 0 meV per atom; calculated formation energy = 0.6797 eV per atom
1.0
-0.734 1.650 -4.314
-4.378 -1.640 0.118
-1.471 4.057 1.802
Hf Fe W
3 1 1
Direct
0.500 0.000 0.000
0.000 0.500 0.000
0.000 0.000 0.500
0.000 0.000 0.000
0.500 0.500 0.500

---

Record 5
PBE HfFe2W, optimized geometry; V = 124.5 Å³ per cell; VASP energy = -37.7 eV/f.u.; calculated formation energy = 0.5356 eV per atom
1.0
-4.574 -4.902 0.380
4.387 -4.304 -2.708
0.819 -5.259 1.357
Fe W Hf
4 2 2
Direct
0.375 0.346 0.750
0.654 0.125 0.250
0.096 0.625 0.250
0.875 0.904 0.750
0.000 0.000 0.000
0.750 0.250 0.500
0.500 0.500 0.000
0.250 0.750 0.500

---

Record 6
PBE YHf2Fe9, optimized geometry; V = 170.2 Å³ per cell; VASP energy = -105.1 eV/f.u.; calculated formation energy = -0.2158 eV per atom
1.0
4.770 0.000 1.420
2.174 4.246 1.420
0.085 0.052 8.439
Fe Hf Y
9 2 1
Direct
0.413 0.918 0.255
0.413 0.413 0.255
0.667 0.667 0.999
0.918 0.413 0.255
0.500 0.500 0.500
0.587 0.587 0.745
0.587 0.082 0.745
0.333 0.333 0.001
0.082 0.587 0.745
0.857 0.857 0.429
0.143 0.143 0.571
0.000 0.000 0.000

---

Record 7
PBE Y2HfFe, optimized geometry; V = 192.7 Å³ per cell; VASP energy = -29.3 eV/f.u.; ΔE to the lowest computed polymorph = 0 meV per atom; calculated formation energy = 0.5081 eV per atom
1.0
-3.837 7.257 0.391
-2.155 -1.558 7.776
-0.587 4.074 4.997
Fe Y Hf
2 4 2
Direct
0.500 0.500 0.000
0.250 0.750 0.500
0.548 0.125 0.250
0.375 0.452 0.750
0.202 0.625 0.250
0.875 0.798 0.750
0.000 0.000 0.000
0.750 0.250 0.500

---

Record 8
PBE YHf2Fe2, optimized geometry; V = 96.9 Å³ per cell; VASP energy = -43.6 eV/f.u.; ΔE to the lowest computed polymorph = 0 meV per atom; calculated formation energy = -0.0568 eV per atom
1.0
4.256 0.000 0.000
0.000 4.256 0.000
2.128 2.128 5.349
Fe Hf Y
2 2 1
Direct
0.397 0.397 0.207
0.603 0.603 0.793
0.750 0.250 0.500
0.250 0.750 0.500
0.000 0.000 0.000

---

Record 9
PBE Y2HfFe, optimized geometry; V = 90.4 Å³ per cell; VASP energy = -29.2 eV/f.u.; ΔE to the lowest computed polymorph = 26 meV per atom; calculated formation energy = 0.5345 eV per atom
1.0
0.000 3.562 3.562
3.562 0.000 3.562
3.562 3.562 0.000
Y Hf Fe
2 1 1
Direct
0.250 0.250 0.250
0.750 0.750 0.750
0.500 0.500 0.500
0.000 0.000 0.000

---

Record 10
PBE YHf3Fe, optimized geometry; V = 127.4 Å³ per cell; VASP energy = -33.9 eV/f.u.; ΔE to the lowest computed polymorph = 2033 meV per atom; calculated formation energy = 2.1847 eV per atom
1.0
-1.163 -4.879 0.410
4.876 -1.117 0.540
-0.433 0.522 4.986
Hf Fe Y
3 1 1
Direct
0.000 0.500 0.000
0.000 0.000 0.500
0.500 0.000 0.000
0.500 0.500 0.500
0.000 0.000 0.000

---

Record 11
PBE YHf2Fe2, optimized geometry; V = 102.0 Å³ per cell; VASP energy = -41.9 eV/f.u.; ΔE to the lowest computed polymorph = 334 meV per atom; calculated formation energy = 0.2773 eV per atom
1.0
-3.968 -0.535 -2.079
1.071 -4.280 -0.943
-3.515 -3.877 2.810
Hf Y Fe
2 1 2
Direct
0.346 0.346 0.307
0.654 0.654 0.693
0.000 0.000 0.000
0.750 0.250 0.500
0.250 0.750 0.500

---

Record 12
PBE YHf3Fe, optimized geometry; V = 116.2 Å³ per cell; VASP energy = -44.0 eV/f.u.; ΔE to the lowest computed polymorph = 0 meV per atom; calculated formation energy = 0.1519 eV per atom
1.0
-2.515 -1.593 3.867
-0.296 -4.433 -2.019
4.172 -1.275 2.188
Hf Y Fe
3 1 1
Direct
0.000 0.000 0.500
0.500 0.000 0.000
0.000 0.500 0.000
0.500 0.500 0.500
0.000 0.000 0.000

---

Record 13
PBE YHf3Fe8, optimized geometry; V = 175.7 Å³ per cell; VASP energy = -107.2 eV/f.u.; calculated formation energy = -0.2615 eV per atom
1.0
4.772 0.000 1.441
2.169 4.251 1.441
-0.010 -0.006 8.658
Fe Hf Y
8 3 1
Direct
0.439 0.439 0.182
0.439 0.941 0.182
0.937 0.433 0.692
0.187 0.187 0.438
0.937 0.937 0.692
0.688 0.688 0.937
0.941 0.439 0.182
0.433 0.937 0.692
0.498 0.498 0.505
0.375 0.375 0.875
0.001 0.001 0.997
0.875 0.875 0.375

---

Record 14
PBE YHf2Fe2, optimized geometry; V = 183.1 Å³ per cell; VASP energy = -43.4 eV/f.u.; ΔE to the lowest computed polymorph = 45 meV per atom; calculated formation energy = -0.0115 eV per atom
1.0
7.575 0.000 0.000
0.000 7.575 0.000
0.000 0.000 3.192
Fe Y Hf
4 2 4
Direct
0.642 0.142 0.000
0.358 0.858 0.000
0.142 0.358 0.000
0.858 0.642 0.000
0.500 0.500 0.000
0.000 0.000 0.000
0.355 0.145 0.500
0.145 0.645 0.500
0.645 0.855 0.500
0.855 0.355 0.500

---

Record 15
PBE YHfFe4, optimized geometry; V = 90.8 Å³ per cell; VASP energy = -51.3 eV/f.u.; calculated formation energy = -0.1798 eV per atom
1.0
5.044 0.000 0.000
2.522 4.369 0.000
2.522 1.456 4.119
Y Fe Hf
1 4 1
Direct
0.000 0.000 0.000
0.127 0.624 0.624
0.624 0.624 0.127
0.624 0.624 0.624
0.624 0.127 0.624
0.250 0.250 0.250

---

Record 16
PBE YHfZr2Fe, optimized geometry; V = 140.4 Å³ per cell; VASP energy = -33.9 eV/f.u.; calculated formation energy = 1.6150 eV per atom
1.0
5.080 0.000 0.000
0.000 5.441 0.000
0.000 0.000 5.080
Zr Fe Hf Y
2 1 1 1
Direct
0.500 0.000 0.000
0.000 0.000 0.500
0.500 0.500 0.500
0.000 0.000 0.000
0.000 0.500 0.000

---

Record 17
PBE Hf2ZnFe2, optimized geometry; V = 160.0 Å³ per cell; VASP energy = -38.9 eV/f.u.; calculated formation energy = -0.1490 eV per atom
1.0
6.591 0.000 0.000
0.000 6.591 0.000
0.000 0.000 3.682
Hf Zn Fe
4 2 4
Direct
0.819 0.319 0.500
0.681 0.819 0.500
0.181 0.681 0.500
0.319 0.181 0.500
0.500 0.500 0.000
0.000 0.000 0.000
0.880 0.620 0.000
0.120 0.380 0.000
0.380 0.880 0.000
0.620 0.120 0.000

---

Record 18
PBE HfZn2Fe2, optimized geometry; V = 144.7 Å³ per cell; VASP energy = -29.1 eV/f.u.; ΔE to the lowest computed polymorph = 18 meV per atom; calculated formation energy = 0.0643 eV per atom
1.0
-5.150 -4.421 2.360
3.228 -5.516 -3.286
1.495 -0.505 2.317
Fe Zn Hf
4 4 2
Direct
0.179 0.679 0.500
0.321 0.179 0.500
0.821 0.321 0.500
0.679 0.821 0.500
0.380 0.880 0.000
0.620 0.120 0.000
0.880 0.620 0.000
0.120 0.380 0.000
0.500 0.500 0.000
0.000 0.000 0.000

---

Record 19
PBE Hf4ZnFe, optimized geometry; V = 229.8 Å³ per cell; VASP energy = -50.5 eV/f.u.; calculated formation energy = -0.1641 eV per atom
1.0
-4.091 -3.033 2.259
3.340 -0.432 5.469
-2.803 5.370 2.136
Zn Hf Fe
2 8 2
Direct
0.750 0.000 0.000
0.250 0.000 0.000
0.500 0.653 0.186
0.000 0.814 0.347
0.000 0.347 0.186
0.000 0.653 0.814
0.500 0.347 0.814
0.500 0.814 0.653
0.500 0.186 0.347
0.000 0.186 0.653
0.250 0.500 0.500
0.750 0.500 0.500

---

Record 20
PBE Hf3ZnFe8, optimized geometry; V = 164.0 Å³ per cell; VASP energy = -102.0 eV/f.u.; calculated formation energy = -0.2647 eV per atom
1.0
-0.271 4.207 2.457
-4.224 1.381 2.015
0.463 -1.928 8.199
Fe Hf Zn
8 3 1
Direct
0.938 0.439 0.685
0.436 0.436 0.188
0.439 0.938 0.685
0.436 0.939 0.188
0.688 0.688 0.937
0.188 0.188 0.436
0.939 0.436 0.188
0.938 0.938 0.685
0.376 0.376 0.872
0.995 0.995 0.014
0.504 0.504 0.489
0.873 0.873 0.380